Compound: Cs3VBr8
Source: Alexandria
Functional: PBE-GGA
Structure: optimized geometry

Geometry as POSCAR:
```
Cs3VBr8
1.0
10.7774 0.0000 0.0000
-5.3887 9.3335 0.0000
0.0000 0.0000 9.5763
Cs V Br
6 2 16
Cartesian
0.0000 2.8691 0.0000
-2.9039 7.8989 0.0000
2.4847 1.4346 4.7881
2.9040 7.8989 0.0000
8.2926 1.4346 4.7881
5.3887 6.4644 4.7881
0.0000 6.2223 4.1493
5.3887 3.1112 8.9375
0.0000 0.0000 2.4231
0.0000 0.0000 7.2112
-1.7481 5.2131 2.7312
0.0000 4.2219 5.5937
-1.7324 7.2225 5.5937
0.0000 6.2223 8.7087
1.7481 5.2131 2.7312
0.0000 8.2408 2.7312
3.6563 2.1110 0.8056
1.7324 7.2225 5.5937
5.3887 1.0926 7.5194
3.6406 4.1204 7.5194
5.3887 3.1112 3.9206
7.1211 2.1110 0.8056
5.3887 5.1116 0.8056
7.1368 4.1204 7.5194
```


Compound: CsV2Br2
Source: Alexandria
Functional: PBE-GGA
Structure: optimized geometry

Geometry as POSCAR:
```
CsV2Br2
1.0
-2.6532 2.6532 4.6893
2.6532 -2.6532 4.6893
2.6532 2.6532 -4.6893
Cs V Br
1 2 2
Cartesian
0.0000 0.0000 0.0000
0.0000 0.0000 3.8060
0.0000 0.0000 5.5725
2.6532 0.0000 2.3446
0.0000 2.6532 2.3446
```

- ΔE to the lowest computed polymorph: 78 meV/atom


Compound: CsV2Br2
Source: Alexandria
Functional: PBE-GGA
Structure: optimized geometry

Geometry as POSCAR:
```
CsV2Br2
1.0
8.8716 0.0000 0.0000
0.0000 8.8716 0.0000
0.0000 0.0000 4.6555
Cs V Br
2 4 4
Cartesian
0.0000 0.0000 0.0000
4.4358 4.4358 0.0000
0.6389 3.7969 0.0000
3.7969 8.2327 0.0000
5.0747 0.6389 0.0000
8.2327 5.0747 0.0000
1.3759 3.0599 2.3277
3.0599 7.4957 2.3277
5.8117 1.3759 2.3277
7.4957 5.8117 2.3277
```

- ΔE to the lowest computed polymorph: 0 meV/atom


Compound: Cs3VBr6
Source: Alexandria
Functional: PBE-GGA
Structure: optimized geometry

Geometry as POSCAR:
```
Cs3VBr6
1.0
0.0000 5.9587 5.9587
5.9587 0.0000 5.9587
5.9587 5.9587 0.0000
Cs V Br
3 1 6
Cartesian
0.0000 0.0000 0.0000
2.9794 2.9794 2.9794
8.9381 8.9381 8.9381
5.9587 5.9587 5.9587
5.9587 5.9587 3.4018
5.9587 3.4018 5.9587
8.5156 5.9587 5.9587
3.4018 5.9587 5.9587
5.9587 8.5156 5.9587
5.9587 5.9587 8.5156
```

- ΔE to the lowest computed polymorph: 38 meV/atom


Compound: Cs2VWBr6
Source: Alexandria
Functional: PBE-GGA
Structure: optimized geometry

Geometry as POSCAR:
```
Cs2VWBr6
1.0
-3.8429 3.8429 5.4513
3.8429 -3.8429 5.4513
3.8429 3.8429 -5.4513
Cs V W Br
2 1 1 6
Cartesian
3.8429 0.0000 2.7257
0.0000 3.8429 2.7257
0.0000 0.0000 0.0000
0.0000 0.0000 5.4513
0.0000 0.0000 2.7643
1.9520 1.9520 0.0000
1.8909 -1.8909 5.4513
-1.8909 1.8909 5.4513
0.0000 0.0000 8.1384
1.8909 1.8909 5.4513
```


Compound: Cs2YVBr6
Source: Alexandria
Functional: PBE-GGA
Structure: optimized geometry

Geometry as POSCAR:
```
Cs2YVBr6
1.0
0.0000 5.5912 5.5912
5.5912 0.0000 5.5912
5.5912 5.5912 0.0000
Cs Y V Br
2 1 1 6
Cartesian
2.7956 2.7956 2.7956
8.3869 8.3869 8.3869
0.0000 0.0000 0.0000
5.5912 5.5912 5.5912
5.5912 5.5912 2.8280
5.5912 2.8280 5.5912
8.3545 5.5912 5.5912
2.8280 5.5912 5.5912
5.5912 8.3545 5.5912
5.5912 5.5912 8.3545
```


Short version: formation energy from raw total energies = -1.1865 0.0238 -0.0538 -1.3978 -0.7598 -1.4292 eV/atom, in the order given.
Short version: total DFT energy (no corrections) = -3.275 -4.463 -4.541 -3.569 -4.141 -4.162 eV per atom, in the order given.